# 1
CaEr2Te after structural relaxation. Source: Alexandria via LeMat-Bulk, functional PBE.

a b c (Å): 3.8521 3.8521 11.1650
angles (deg): 80.07 80.07 60.00
Positions (direct):
Ca (0.0000, 0.0000, 0.0000)
Te (0.5000, 0.5000, 0.5000)
Er (0.1050, 0.1050, 0.6851)
Er (0.8950, 0.8950, 0.3149)

crystal system	trigonal
density of states at the Fermi level	4.07	states/eV/f.u.
space group	No. 166
raw formation energy	-26.9	kJ per mole of atoms
total magnetization	0.0	μB/cell
calculated volume	35.15	Å³/atom

---

# 2
Ho6TlHg5 after structural relaxation. Source: Alexandria via LeMat-Bulk, functional PBE.

a b c (Å): 5.2511 7.4461 8.3212
angles (deg): 90.00 71.61 90.00
Positions (direct):
Tl (0.0000, 0.0000, 0.0000)
Ho (0.8316, 0.7476, 0.3369)
Ho (0.8316, 0.2524, 0.3369)
Ho (0.5000, 0.2539, 0.0000)
Ho (0.5000, 0.7461, 0.0000)
Ho (0.1684, 0.7476, 0.6631)
Ho (0.1684, 0.2524, 0.6631)
Hg (0.6657, 0.5000, 0.6686)
Hg (0.3323, 0.0000, 0.3354)
Hg (0.0000, 0.5000, 0.0000)
Hg (0.6677, 0.0000, 0.6646)
Hg (0.3343, 0.5000, 0.3314)

crystal system	orthorhombic
density of states at the Fermi level	10.81	states/eV/f.u.
space group	No. 65
total magnetization	0.0	μB/cell
energy relative to the elements	-0.4542	eV per atom
calculated volume	25.73	Å³/atom

---

# 3
TaPS3 after structural relaxation. Source: Alexandria via LeMat-Bulk, functional PBE.

a b c (Å): 4.3889 4.3889 4.3889
angles (deg): 90.00 90.00 90.00
Each line ends with the local moment (μB).
Positions (direct):
P (0.0000, 0.0000, 0.0000)  0.02
S (0.0000, 0.5000, 0.0000)  -0.10
S (0.0000, 0.0000, 0.5000)  -0.07
S (0.5000, 0.0000, 0.0000)  -0.07
Ta (0.5000, 0.5000, 0.5000)  1.45

crystal system	cubic
density of states at the Fermi level	2.46	states/eV/f.u.
space group	No. 221
raw formation energy	61.1	kJ per mole of atoms
total magnetization	1.9	μB/cell
ΔE to the lowest computed polymorph	0.368	eV/atom
calculated volume	16.91	Å³/atom

---

# 4
PmTlGeSe4 after structural relaxation. Source: Alexandria via LeMat-Bulk, functional PBE.

a b c (Å): 6.8789 6.9928 9.0235
angles (deg): 90.00 107.06 90.00
Positions (direct):
Pm (0.7671, 0.7500, 0.4442)
Pm (0.2329, 0.2500, 0.5558)
Tl (0.7507, 0.7500, 0.9344)
Tl (0.2493, 0.2500, 0.0656)
Ge (0.2238, 0.7500, 0.3191)
Ge (0.7762, 0.2500, 0.6809)
Se (0.0085, 0.5115, 0.7199)
Se (0.9915, 0.0115, 0.2801)
Se (0.9915, 0.4885, 0.2801)
Se (0.0085, 0.9885, 0.7199)
Se (0.4266, 0.7500, 0.1501)
Se (0.5734, 0.2500, 0.8499)
Se (0.4237, 0.7500, 0.5838)
Se (0.5763, 0.2500, 0.4162)

crystal system	monoclinic
space group	No. 11
raw formation energy	-87.1	kJ per mole of atoms
total magnetization	0.0	μB/cell
calculated volume	29.64	Å³/atom